1.
18
Lattice="3.966 2.290 6.702 -3.966 2.290 6.702 0.000 -4.579 6.702" Properties=species:S:1:pos:R:3 comment="GGA-PBE La2Ni3Pt12Rh, relaxed" dos_ef_per_ev_cell=21.01 magmom_total_mub_per_fu=4.4 formation_energy_ev_per_atom=0.04 spacegroup="No. 166" pbc="T T T"
La 0.000 0.000 2.480
La 0.000 0.000 17.626
Ni -1.983 -1.145 6.702
Ni -1.983 1.145 13.404
Ni 0.000 2.290 6.702
Pt -2.026 -1.170 9.134
Pt 0.000 -2.286 5.898
Pt -1.980 1.143 5.898
Pt -1.980 -1.143 14.208
Pt 0.000 -2.339 10.972
Pt -2.026 1.170 10.972
Pt 2.026 -1.170 9.134
Pt 0.000 2.339 9.134
Pt 1.980 1.143 5.898
Pt 1.980 -1.143 14.208
Pt 0.000 2.286 14.208
Pt 2.026 1.170 10.972
Rh 0.000 0.000 10.053

2.
4
Lattice="0.000 3.223 3.223 3.223 0.000 3.223 3.223 3.223 0.000" Properties=species:S:1:pos:R:3 comment="GGA-PBE PaCuRuRh, relaxed" dos_ef_per_ev_cell=2.37 e_above_lowest_polymorph_mev_per_atom=199 magmom_total_mub_per_fu=0.0 formation_energy_ev_per_atom=-0.39 spacegroup="No. 216" pbc="T T T"
Pa 0.000 0.000 0.000
Cu 3.223 3.223 3.223
Ru 1.611 1.611 1.611
Rh 4.834 4.834 4.834

3.
7
Lattice="-2.028 2.066 8.465 2.028 -2.066 8.465 2.028 2.066 -8.465" Properties=species:S:1:pos:R:3 comment="GGA-PBE Y3Si2Ni2, relaxed" dos_ef_per_ev_cell=5.67 e_above_lowest_polymorph_mev_per_atom=20 e_form_raw_mev_per_atom=-704 magmom_total_mub_per_fu=0.0 spacegroup="No. 71" pbc="T T T"
Y 0.000 0.000 0.000
Y 2.028 0.000 3.067
Y 0.000 2.066 5.398
Si 2.028 0.000 6.131
Si 0.000 2.066 2.333
Ni 0.000 0.000 7.293
Ni 0.000 0.000 9.636

4.
8
Lattice="3.327 -6.289 0.000 3.327 6.289 0.000 -1.876 0.000 6.372" Properties=species:S:1:pos:R:3 comment="GGA-PBE SnBiCl6, relaxed" dos_ef_per_ev_cell=2.82 e_form_raw_mev_per_atom=-890 magmom_total_mub_per_fu=0.0 spacegroup="No. 12" pbc="T T T"
Sn 0.000 0.000 0.000
Bi 2.389 0.000 3.186
Cl 1.149 1.831 1.553
Cl 0.210 0.000 4.825
Cl 1.149 -1.831 1.553
Cl 3.629 1.831 4.819
Cl 4.568 0.000 1.547
Cl 3.629 -1.831 4.819

5.
14
Lattice="7.362 0.000 0.000 0.000 7.362 0.000 0.000 0.000 7.362" Properties=species:S:1:pos:R:3 comment="GGA-PBE ThTi3In3, relaxed" dos_ef_per_ev_cell=16.54 magmom_total_mub_per_fu=1.1 formation_energy_ev_per_atom=0.90 spacegroup="No. 223" pbc="T T T"
Th 0.000 0.000 0.000
Th 3.681 3.681 3.681
Ti 0.000 1.841 3.681
Ti 0.000 5.522 3.681
Ti 1.841 3.681 0.000
Ti 3.681 0.000 1.841
Ti 3.681 0.000 5.522
Ti 5.522 3.681 0.000
In 0.000 3.681 1.841
In 0.000 3.681 5.522
In 1.841 0.000 3.681
In 3.681 1.841 0.000
In 3.681 5.522 0.000
In 5.522 0.000 3.681

6.
20
Lattice="5.358 -8.098 0.000 5.358 8.098 0.000 -5.352 0.000 7.762" Properties=species:S:1:pos:R:3 comment="GGA-PBE Tb5Pm3Sm2, relaxed" dos_ef_per_ev_cell=36.87 e_above_lowest_polymorph_mev_per_atom=0 magmom_total_mub_per_fu=0.0 formation_energy_ev_per_atom=0.19 spacegroup="No. 15" pbc="T T T"
Tb 1.344 7.691 5.822
Tb -1.343 2.096 5.593
Tb 1.344 4.505 5.822
Tb 4.020 3.693 1.941
Tb 1.333 -2.096 1.712
Tb 4.032 2.096 6.050
Tb 1.344 -3.693 5.822
Tb 4.020 -4.505 1.941
Tb 6.708 -2.096 2.169
Tb 4.020 -7.691 1.941
Pm 1.413 2.007 0.372
Pm -1.263 -2.007 4.253
Pm 4.020 0.300 1.941
Pm 1.344 -0.300 5.822
Pm 6.628 2.007 3.509
Pm 3.952 -2.007 7.390
Sm 1.415 2.098 3.528
Sm -1.261 -2.098 7.409
Sm 6.626 2.098 0.353
Sm 3.950 -2.098 4.234

7.
4
Lattice="3.531 0.000 0.000 0.000 3.531 0.000 0.000 0.000 8.127" Properties=species:S:1:pos:R:3 comment="GGA-PBE LiNdSc2, relaxed" dos_ef_per_ev_cell=7.17 e_above_lowest_polymorph_mev_per_atom=0 magmom_total_mub_per_fu=0.0 formation_energy_ev_per_atom=0.13 spacegroup="No. 123" pbc="T T T"
Li 0.000 0.000 0.000
Nd 0.000 0.000 4.063
Sc 1.766 1.766 1.693
Sc 1.766 1.766 6.434

8.
4
Lattice="-1.391 2.368 4.983 1.391 -2.368 4.983 1.391 2.368 -4.983" Properties=species:S:1:pos:R:3 comment="GGA-PBE ZrBe2Pt, relaxed" dos_ef_per_ev_cell=1.86 e_above_lowest_polymorph_mev_per_atom=815 magmom_total_mub_per_fu=0.0 formation_energy_ev_per_atom=0.22 spacegroup="No. 71" pbc="T T T"
Zr 0.000 0.000 0.000
Be 0.000 0.000 2.736
Be 0.000 0.000 7.230
Pt 0.000 0.000 4.983

9.
7
Lattice="-2.634 2.634 7.263 2.634 -2.634 7.263 2.634 2.634 -7.263" Properties=species:S:1:pos:R:3 comment="GGA-PBE DyY2In4, relaxed" dos_ef_per_ev_cell=5.67 magmom_total_mub_per_fu=0.1 formation_energy_ev_per_atom=-0.33 spacegroup="No. 139" pbc="T T T"
Dy 0.000 0.000 0.000
Y 0.000 0.000 3.650
Y 0.000 0.000 10.876
In 2.634 0.000 1.671
In 2.634 0.000 5.592
In 0.000 2.634 1.671
In 0.000 2.634 5.592

10.
14
Lattice="4.160 2.402 6.829 -4.160 2.402 6.829 0.000 -4.804 6.829" Properties=species:S:1:pos:R:3 comment="GGA-PBE TmMg3Pb3, relaxed" dos_ef_per_ev_cell=6.01 e_above_lowest_polymorph_mev_per_atom=4 magmom_total_mub_per_fu=0.0 formation_energy_ev_per_atom=-0.05 spacegroup="No. 148" pbc="T T T"
Tm 0.000 0.000 3.440
Tm 0.000 0.000 17.046
Mg -2.925 -0.036 7.834
Mg -1.432 -2.551 12.652
Mg 1.494 -2.516 7.834
Mg -1.494 2.516 12.652
Mg 1.432 2.551 7.834
Mg 2.925 0.036 12.652
Pb -1.252 -2.228 8.916
Pb -2.555 -0.030 11.570
Pb -1.304 2.198 8.916
Pb 1.304 -2.198 11.570
Pb 2.555 0.030 8.916
Pb 1.252 2.228 11.570

11.
16
Lattice="4.178 2.412 6.554 -4.178 2.412 6.554 0.000 -4.824 6.554" Properties=species:S:1:pos:R:3 comment="GGA-PBE Li4Nd3ThSe8, relaxed" dos_ef_per_ev_cell=3.47 e_form_raw_mev_per_atom=-1620 magmom_total_mub_per_fu=0.0 spacegroup="No. 166" pbc="T T T"
Li 0.000 0.000 0.000
Li -2.089 -1.206 6.554
Li -2.089 1.206 13.108
Li 0.000 2.412 6.554
Nd -4.178 0.000 9.831
Nd -2.089 1.206 3.277
Nd 2.089 1.206 3.277
Th 0.000 0.000 9.831
Se 0.000 -2.380 8.109
Se -2.061 1.190 8.109
Se 0.000 0.000 5.001
Se -2.061 -1.190 11.554
Se 2.061 1.190 8.109
Se 0.000 0.000 14.661
Se 2.061 -1.190 11.554
Se 0.000 2.380 11.554

12.
4
Lattice="3.991 0.000 0.000 0.000 2.171 5.420 0.000 -2.171 5.420" Properties=species:S:1:pos:R:3 comment="GGA-PBE Y2AlSi, relaxed" dos_ef_per_ev_cell=3.42 e_form_raw_mev_per_atom=-682 magmom_total_mub_per_fu=0.0 spacegroup="No. 38" pbc="T T T"
Y 0.000 0.000 0.000
Y 1.995 0.000 3.062
Al 0.000 0.000 7.722
Si 1.995 0.000 6.126